[1]
First-principles (GGA-PBE) data for crystalline CsKPtI6 at its relaxed geometry, as listed in Alexandria.

Results
* symmetry: C2, No. 5
* magnetization: 0.00 μB/f.u.
* raw formation energy: -0.6946 eV per atom

The structure in POSCAR format:
```
CsKPtI6
1.0
4.230 -7.338 0.000
4.230 7.338 0.000
-0.005 0.000 7.735
Cs K Pt I
1 1 1 6
Cartesian
0.000 0.000 0.000
4.228 -2.442 3.867
4.228 2.446 3.867
2.023 2.483 2.287
3.096 4.333 5.453
5.359 4.333 2.282
3.163 0.521 5.453
5.292 0.521 2.281
6.432 2.483 5.448
```

=====

[2]
First-principles (GGA-PBE) data for crystalline PmTl2PtO6 at its relaxed geometry, as listed in Alexandria.

Results
* symmetry: R3, No. 146
* magnetization: 0.00 μB/f.u.
* raw formation energy: -1.2514 eV per atom

The structure in POSCAR format:
```
PmTl2PtO6
1.0
2.886 1.666 5.142
-2.886 1.666 5.142
0.000 -3.333 5.142
Pm Tl Pt O
1 2 1 6
Cartesian
0.000 0.000 0.000
0.000 0.000 3.308
0.000 0.000 11.480
0.000 0.000 7.897
-0.526 -1.609 6.795
-1.630 -0.153 9.106
-1.130 1.260 6.795
0.947 -1.335 9.106
1.656 0.349 6.795
0.683 1.488 9.106
```